# 1
Computed, not measured: a geometry-optimized Li2BeRe structure at the PBE level of DFT.

a = 4.6389 Å, b = 4.6389 Å, c = 4.8754 Å
α = 106.51°, β = 106.51°, γ = 30.74°
Fractional positions:
Li  0.0000  0.0000  0.0000
Li  0.2373  0.2373  0.8632
Be  0.5332  0.5332  0.4805
Re  0.7910  0.7910  0.3940

## Properties
As for the symmetry: Cm. The calculation puts the total energy at -4.76 eV per atom.

***

# 2
Computed, not measured: a geometry-optimized CuSn2Sb2Pt7 structure at the PBE level of DFT.

a = 3.8956 Å, b = 3.8956 Å, c = 16.4421 Å
α = 96.76°, β = 96.76°, γ = 90.02°
Fractional positions:
Cu  0.0000  0.0000  0.0000
Sn  0.3813  0.3813  0.7604
Sn  0.6187  0.6187  0.2396
Sb  0.2144  0.2144  0.4292
Sb  0.7856  0.7856  0.5708
Pt  0.0611  0.5610  0.1238
Pt  0.2982  0.2982  0.5967
Pt  0.4390  0.9389  0.8762
Pt  0.5000  0.5000  0.0000
Pt  0.5610  0.0611  0.1238
Pt  0.7018  0.7018  0.4033
Pt  0.9389  0.4390  0.8762

## Properties
As for the symmetry: C2/m. The calculation puts the total energy at -5.51 eV per atom.

***

# 3
Computed, not measured: a geometry-optimized Ac3Pb4Au3 structure at the PBE level of DFT.

a = 9.2308 Å, b = 9.2308 Å, c = 9.2308 Å
α = 109.47°, β = 109.47°, γ = 109.47°
Fractional positions:
Ac  0.1250  0.8750  0.2500
Ac  0.2500  0.1250  0.8750
Ac  0.3750  0.6250  0.7500
Ac  0.6250  0.7500  0.3750
Ac  0.7500  0.3750  0.6250
Ac  0.8750  0.2500  0.1250
Pb  0.0000  0.1740  0.5000
Pb  0.0000  0.6740  0.5000
Pb  0.1740  0.5000  0.0000
Pb  0.3260  0.3260  0.3260
Pb  0.5000  0.0000  0.1740
Pb  0.5000  0.0000  0.6740
Pb  0.6740  0.5000  0.0000
Pb  0.8260  0.8260  0.8260
Au  0.1250  0.7500  0.8750
Au  0.2500  0.6250  0.3750
Au  0.3750  0.2500  0.6250
Au  0.6250  0.3750  0.2500
Au  0.7500  0.8750  0.1250
Au  0.8750  0.1250  0.7500

## Properties
As for the symmetry: I-43d. The calculation puts the total energy at -4.29 eV per atom.

***

# 4
Computed, not measured: a geometry-optimized HfPIrOs2 structure at the PBE level of DFT.

a = 4.3734 Å, b = 4.3734 Å, c = 4.4169 Å
α = 90.00°, β = 90.00°, γ = 90.00°
Fractional positions:
Hf  0.0000  0.0000  0.0000
P  0.5000  0.5000  0.5000
Ir  0.5000  0.5000  0.0000
Os  0.0000  0.5000  0.5000
Os  0.5000  0.0000  0.5000

## Properties
As for the symmetry: P4/mmm. The calculation puts the total energy at -9.12 eV per atom.

***

# 5
Computed, not measured: a geometry-optimized PmHoC2O8 structure at the PBE level of DFT.

a = 5.1017 Å, b = 5.1017 Å, c = 5.9822 Å
α = 108.59°, β = 108.59°, γ = 62.42°
Fractional positions:
Pm  0.0000  0.0000  0.0000
Ho  0.5000  0.5000  0.5000
C  0.2136  0.2136  0.6981
C  0.7864  0.7864  0.3019
O  0.0603  0.6371  0.2256
O  0.1673  0.1673  0.4489
O  0.3629  0.9397  0.7744
O  0.3847  0.3847  0.7915
O  0.6153  0.6153  0.2085
O  0.6371  0.0603  0.2256
O  0.8327  0.8327  0.5511
O  0.9397  0.3629  0.7744

## Properties
As for the symmetry: C2/m. The calculation puts the total energy at -7.53 eV per atom.

***

# 6
Computed, not measured: a geometry-optimized Sm2Tm3Rh2 structure at the PBE level of DFT.

a = 6.3309 Å, b = 6.3309 Å, c = 8.9397 Å
α = 115.26°, β = 115.26°, γ = 34.48°
Fractional positions:
Sm  0.1639  0.1639  0.3062
Sm  0.8361  0.8361  0.6938
Tm  0.3824  0.3824  0.0694
Tm  0.5000  0.5000  0.5000
Tm  0.6176  0.6176  0.9306
Rh  0.1718  0.1718  0.7417
Rh  0.8282  0.8282  0.2583

## Properties
As for the symmetry: C2/m. The calculation puts the total energy at -5.96 eV per atom.

***

# 7
Computed, not measured: a geometry-optimized SmDyAlRu structure at the PBE level of DFT.

a = 5.0098 Å, b = 5.0098 Å, c = 5.0098 Å
α = 60.00°, β = 60.00°, γ = 60.00°
Fractional positions:
Sm  0.0000  0.0000  0.0000
Dy  0.5000  0.5000  0.5000
Al  0.7500  0.7500  0.7500
Ru  0.2500  0.2500  0.2500

## Properties
As for the symmetry: F-43m. The calculation puts the total energy at -5.88 eV per atom.

***

# 8
Computed, not measured: a geometry-optimized BaLi2Os structure at the PBE level of DFT.

a = 2.9258 Å, b = 4.3603 Å, c = 6.3994 Å
α = 90.00°, β = 90.00°, γ = 90.00°
Fractional positions:
Ba  0.0000  0.0000  0.0000
Li  0.5000  0.5000  0.3293
Li  0.5000  0.5000  0.6707
Os  0.0000  0.0000  0.5000

## Properties
As for the symmetry: Pmmm. Its energy above the most stable polymorph in this dataset is 0.061 eV per atom.

***

# 9
Computed, not measured: a geometry-optimized Pm6YSi4 structure at the PBE level of DFT.

a = 9.2336 Å, b = 9.2336 Å, c = 4.0442 Å
α = 90.00°, β = 90.00°, γ = 120.00°
Fractional positions:
Pm  0.1954  0.3908  0.0000
Pm  0.1954  0.8046  0.0000
Pm  0.5408  0.0815  0.5000
Pm  0.5408  0.4592  0.5000
Pm  0.6092  0.8046  0.0000
Pm  0.9185  0.4592  0.5000
Y  0.0000  0.0000  0.5000
Si  0.3257  0.1628  0.0000
Si  0.3333  0.6667  0.5000
Si  0.8372  0.1628  0.0000
Si  0.8372  0.6743  0.0000

## Properties
As for the symmetry: P-6m2. The calculation puts the total energy at -5.59 eV per atom.

***

# 10
Computed, not measured: a geometry-optimized CsCr3Ag structure at the PBE level of DFT.

a = 5.0566 Å, b = 5.0566 Å, c = 5.0566 Å
α = 90.00°, β = 90.00°, γ = 90.00°
Fractional positions:
Cs  0.0000  0.0000  0.0000
Cr  0.0000  0.0000  0.5000
Cr  0.0000  0.5000  0.0000
Cr  0.5000  0.0000  0.0000
Ag  0.5000  0.5000  0.5000

## Properties
As for the symmetry: Pm-3m. The calculation puts the total energy at -3.92 eV per atom.

***

# 11
Computed, not measured: a geometry-optimized SrZn2As structure at the PBE level of DFT.

a = 4.3071 Å, b = 4.3223 Å, c = 4.8852 Å
α = 90.00°, β = 90.00°, γ = 90.00°
Fractional positions:
Sr  0.0000  0.0000  0.0000
Zn  0.0000  0.5000  0.5000
Zn  0.5000  0.0000  0.5000
As  0.5000  0.5000  0.0000

## Properties
As for the symmetry: Pmmm. The calculation puts the total energy at -2.47 eV per atom.